The following is a meta-GGA SCAN calculation of TeF6 at its PBEsol-relaxed geometry, from the Alexandria database.

Computed properties:
Raw formation energy   -2.092 eV per atom
Space-group type   No. 62

Cell lengths 9.806, 8.831, 5.128 Å; angles 90.00, 90.00, 90.00 degrees
Atoms (fractional coordinates):
Te1 0.128 0.250 0.093
Te2 0.372 0.750 0.593
Te3 0.628 0.250 0.407
Te4 0.872 0.750 0.907
F1 0.014 0.250 0.805
F2 0.021 0.102 0.247
F3 0.021 0.398 0.247
F4 0.235 0.102 0.939
F5 0.235 0.398 0.939
F6 0.241 0.250 0.381
F7 0.259 0.750 0.881
F8 0.265 0.602 0.439
F9 0.265 0.898 0.439
F10 0.479 0.602 0.747
F11 0.479 0.898 0.747
F12 0.486 0.750 0.305
F13 0.514 0.250 0.695
F14 0.521 0.102 0.253
F15 0.521 0.398 0.253
F16 0.735 0.102 0.561
F17 0.735 0.398 0.561
F18 0.741 0.250 0.119
F19 0.759 0.750 0.619
F20 0.765 0.602 0.061
F21 0.765 0.898 0.061
F22 0.979 0.602 0.753
F23 0.979 0.898 0.753
F24 0.986 0.750 0.195



The following is a meta-GGA SCAN calculation of Li2GePdF at its PBEsol-relaxed geometry, from the Alexandria database.

Computed properties:
Raw formation energy   -1.194 eV per atom
Space-group type   No. 123

Cell lengths 3.610, 3.610, 5.284 Å; angles 90.00, 90.00, 90.00 degrees
Atoms (fractional coordinates):
Li1 0.000 0.500 0.000
Li2 0.500 0.000 0.000
Ge1 0.000 0.000 0.500
Pd1 0.500 0.500 0.500
F1 0.000 0.000 0.000



The following is a meta-GGA SCAN calculation of TlRuRh2 at its PBEsol-relaxed geometry, from the Alexandria database.

Computed properties:
Space-group type   No. 12
Energy relative to the elements   0.33 eV per atom
ΔE to the lowest computed polymorph   0 meV/atom

Cell lengths 4.730, 4.730, 4.834 Å; angles 99.52, 99.52, 35.03 degrees
Atoms (fractional coordinates):
Tl1 0.000 0.000 0.000
Ru1 0.500 0.500 0.500
Rh1 0.243 0.243 0.727
Rh2 0.757 0.757 0.273



The following is a meta-GGA SCAN calculation of ZnCuPt2 at its PBEsol-relaxed geometry, from the Alexandria database.

Computed properties:
Space-group type   No. 47
Energy relative to the elements   -0.40 eV per atom

Cell lengths 2.788, 3.500, 5.579 Å; angles 90.00, 90.00, 90.00 degrees
Atoms (fractional coordinates):
Zn1 0.000 0.000 0.000
Cu1 0.000 0.000 0.500
Pt1 0.500 0.500 0.252
Pt2 0.500 0.500 0.748



The following is a meta-GGA SCAN calculation of Nb3SnOs at its PBEsol-relaxed geometry, from the Alexandria database.

Computed properties:
Space-group type   No. 221
Energy relative to the elements   2.22 eV per atom

Cell lengths 4.856, 4.856, 4.856 Å; angles 90.00, 90.00, 90.00 degrees
Atoms (fractional coordinates):
Nb1 0.000 0.000 0.500
Nb2 0.000 0.500 0.000
Nb3 0.500 0.000 0.000
Sn1 0.000 0.000 0.000
Os1 0.500 0.500 0.500



The following is a meta-GGA SCAN calculation of Li5Mg at its PBEsol-relaxed geometry, from the Alexandria database.

Computed properties:
Space-group type   No. 187
Energy relative to the elements   -0.01 eV per atom
ΔE to the lowest computed polymorph   14 meV/atom

Cell lengths 3.077, 3.077, 14.861 Å; angles 90.00, 90.00, 120.00 degrees
Atoms (fractional coordinates):
Li1 0.000 0.000 0.000
Li2 0.000 0.000 0.331
Li3 0.000 0.000 0.669
Li4 0.667 0.333 0.165
Li5 0.667 0.333 0.835
Mg1 0.667 0.333 0.500



Number 1: V 444.04 Å³ per cell. Number 2: V 68.85 Å³ per cell. Number 3: V 61.12 Å³ per cell. Number 4: V 54.43 Å³ per cell. Number 5: V 114.51 Å³ per cell. Number 6: V 121.84 Å³ per cell.